# 1
A relaxed structure of ScZnCoNi, computed with PBE-GGA.

Properties
Magnetization, μB per cell: 0.0
Energy relative to the lowest polymorph listed for this composition, meV per atom: 0
Electronic total energy, eV per atom: -5.3865

abc: 4.228 4.228 4.228
angles: 60.00 60.00 60.00
Element x y z (fractional)
Sc 0.000 0.000 0.000
Zn 0.500 0.500 0.500
Co 0.250 0.250 0.250
Ni 0.750 0.750 0.750

# 2
A relaxed structure of ScZnCoNi, computed with PBE-GGA.

Properties
Magnetization, μB per cell: 0.9
Energy relative to the lowest polymorph listed for this composition, meV per atom: 213
Electronic total energy, eV per atom: -5.1736

abc: 4.261 4.261 4.261
angles: 60.00 60.00 60.00
Element x y z (fractional)
Sc 0.000 0.000 0.000
Zn 0.750 0.750 0.750
Co 0.250 0.250 0.250
Ni 0.500 0.500 0.500

# 3
A relaxed structure of ScZnCoNi, computed with PBE-GGA.

Properties
Magnetization, μB per cell: 0.8
Energy relative to the lowest polymorph listed for this composition, meV per atom: 193
Electronic total energy, eV per atom: -5.1931

abc: 4.269 4.269 4.269
angles: 60.00 60.00 60.00
Element x y z (fractional)
Sc 0.000 0.000 0.000
Zn 0.250 0.250 0.250
Co 0.500 0.500 0.500
Ni 0.750 0.750 0.750

# 4
A relaxed structure of TlCoNiSe3, computed with PBE-GGA.

Properties
Magnetization, μB per cell: 0.0
Electronic total energy, eV per atom: -4.4765

abc: 6.981 6.981 9.988
angles: 90.00 90.00 150.41
Element x y z (fractional)
Tl 0.242 0.758 0.750
Tl 0.758 0.242 0.250
Co 0.500 0.500 0.000
Co 0.500 0.500 0.500
Ni 0.089 0.911 0.250
Ni 0.911 0.089 0.750
Se 0.117 0.883 0.019
Se 0.117 0.883 0.481
Se 0.473 0.527 0.250
Se 0.527 0.473 0.750
Se 0.883 0.117 0.519
Se 0.883 0.117 0.981

# 5
A relaxed structure of CoSi2Ni3, computed with PBE-GGA.

Properties
Magnetization, μB per cell: 0.0
Electronic total energy, eV per atom: -6.1793

abc: 3.734 3.734 5.280
angles: 90.00 90.00 90.00
Element x y z (fractional)
Co 0.000 0.000 0.000
Si 0.000 0.500 0.243
Si 0.500 0.000 0.757
Ni 0.000 0.000 0.500
Ni 0.500 0.500 0.000
Ni 0.500 0.500 0.500

# 6
A relaxed structure of SmCoSi2Ni, computed with PBE-GGA.

Properties
Magnetization, μB per cell: 1.1
Electronic total energy, eV per atom: -6.4404

abc: 5.614 5.614 5.614
angles: 138.65 138.65 59.91
Element x y z (fractional)
Sm 0.000 0.000 0.000
Co 0.750 0.250 0.500
Si 0.371 0.371 0.000
Si 0.629 0.629 0.000
Ni 0.250 0.750 0.500